First-principles (PBE) data for a relaxed HfZn11Cr crystal, as listed in Alexandria via LeMat-Bulk.

Calculated values
final energy = -2.595 eV per atom
DOS(E_F) = 9.319 states/eV per cell
DFT formation energy = -0.011 eV/atom

Unit cell a=5.2335 b=12.3600 c=6.6089 alpha=90.00 beta=111.97 gamma=90.00
Closest atoms and distances in Å follow each position.
Space group C2/m (No. 12)
Unique sites:
Hf 0.0000 0.0000 0.0000 x2  18 Zn 3.02-3.36, 2 Cr 3.30
Zn 0.0000 0.5000 0.5000 x2  8 Zn 2.54-2.71, 2 Cr 2.62
Zn 0.1086 0.3940 0.2121 x8  7 Zn 2.54-2.82, 1 Cr 2.57
Zn 0.1628 0.1726 0.3497 x8  1 Cr 2.63, 8 Zn 2.66-2.92
Zn 0.2500 0.2500 0.0000 x4  10 Zn 2.54-2.69
Cr 0.0000 0.0000 0.5000 x2  10 Zn 2.57-2.63

=====

First-principles (PBE) data for a relaxed AlGe crystal, as listed in Alexandria via LeMat-Bulk.

Calculated values
final energy = -4.011 eV per atom
DOS(E_F) = 1.972 states/eV per cell
DFT formation energy = 0.169 eV/atom

Unit cell a=6.5183 b=6.5183 c=4.4756 alpha=90.00 beta=90.00 gamma=90.00
Closest atoms and distances in Å follow each position.
Space group P4_2/mnm (No. 136)
Unique sites:
Al 0.2378 0.2378 0.0000 x4  4 Ge 2.48-2.57
Ge 0.1460 0.8540 0.0000 x4  4 Al 2.48-2.57, 1 Ge 2.69